(1)
Entry from the Alexandria database: a relaxed structure of CaTlSnHIr (PBE).

Lattice parameters (Å, degrees): 7.9328 4.6007 6.2846 90.00 115.13 90.00
Sites, in units of the cell vectors:
1 Ca 0.0000 0.0000 0.0000
2 Ca 0.5000 0.5000 0.0000
3 Tl 0.2176 0.0000 0.6519
4 Tl 0.7176 0.5000 0.6519
5 Sn 0.4514 0.0000 0.3520
6 Sn 0.9514 0.5000 0.3520
7 H 0.1795 0.5000 0.0327
8 H 0.6795 0.0000 0.0327
9 Ir 0.2747 0.5000 0.3202
10 Ir 0.7747 0.0000 0.3202

Offset from the most stable computed form ... 0 kJ/mol of formula units
Theoretical density ... 8.90 g/cm³



(2)
Entry from the Alexandria database: a relaxed structure of CaTlSnHIr (PBE).

Lattice parameters (Å, degrees): 9.4921 4.2380 6.0263 90.00 119.49 90.00
Sites, in units of the cell vectors:
1 Ca 0.0000 0.0000 0.0000
2 Ca 0.5000 0.5000 0.0000
3 Tl 0.0965 0.5000 0.6446
4 Tl 0.5965 0.0000 0.6446
5 Sn 0.3049 0.5000 0.3446
6 Sn 0.8049 0.0000 0.3446
7 H 0.3521 0.0000 0.9196
8 H 0.8521 0.5000 0.9196
9 Ir 0.2845 0.0000 0.6068
10 Ir 0.7845 0.5000 0.6068

Offset from the most stable computed form ... 45 kJ/mol of formula units
Theoretical density ... 8.76 g/cm³



(3)
Entry from the Alexandria database: a relaxed structure of CaTlSnHIr (PBE).

Lattice parameters (Å, degrees): 7.7915 4.7210 6.0970 90.00 91.98 90.00
Sites, in units of the cell vectors:
1 Ca 0.0000 0.0000 0.0000
2 Ca 0.5000 0.5000 0.0000
3 Tl 0.1498 0.5000 0.7075
4 Tl 0.6498 0.0000 0.7075
5 Sn 0.3194 0.0000 0.3878
6 Sn 0.8194 0.5000 0.3878
7 H 0.3142 0.5000 0.3064
8 H 0.8142 0.0000 0.3064
9 Ir 0.4820 0.5000 0.4732
10 Ir 0.9820 0.0000 0.4732

Offset from the most stable computed form ... 80 kJ/mol of formula units
Theoretical density ... 8.24 g/cm³



(4)
Entry from the Alexandria database: a relaxed structure of CaTlSnHIr (PBE).

Lattice parameters (Å, degrees): 11.0688 4.0454 5.2679 90.00 110.31 90.00
Sites, in units of the cell vectors:
1 Ca 0.0000 0.0000 0.0000
2 Ca 0.5000 0.5000 0.0000
3 Tl 0.1753 0.5000 0.6193
4 Tl 0.6753 0.0000 0.6193
5 Sn 0.3680 0.0000 0.3781
6 Sn 0.8680 0.5000 0.3781
7 H 0.4086 0.0000 0.7708
8 H 0.9086 0.5000 0.7708
9 Ir 0.2269 0.5000 0.1523
10 Ir 0.7269 0.0000 0.1523

Offset from the most stable computed form ... 105 kJ/mol of formula units
Theoretical density ... 8.35 g/cm³



(5)
Entry from the Alexandria database: a relaxed structure of CaTlSnHIr (PBE).

Lattice parameters (Å, degrees): 9.3006 4.2007 6.4079 90.00 121.05 90.00
Sites, in units of the cell vectors:
1 Ca 0.0000 0.0000 0.0000
2 Ca 0.5000 0.5000 0.0000
3 Tl 0.1122 0.5000 0.7317
4 Tl 0.6122 0.0000 0.7317
5 Sn 0.2983 0.5000 0.3617
6 Sn 0.7983 0.0000 0.3617
7 H 0.0484 0.0000 0.3926
8 H 0.5484 0.5000 0.3926
9 Ir 0.2569 0.0000 0.5780
10 Ir 0.7569 0.5000 0.5780

Offset from the most stable computed form ... 66 kJ/mol of formula units
Theoretical density ... 8.62 g/cm³



(6)
Entry from the Alexandria database: a relaxed structure of CaTlSnHIr (PBE).

Lattice parameters (Å, degrees): 4.0334 4.0334 23.0891 90.00 90.00 120.00
Sites, in units of the cell vectors:
1 Ca 0.0000 0.0000 0.0000
2 Ca 0.3333 0.6667 0.6667
3 Ca 0.6667 0.3333 0.3333
4 Tl 0.0000 0.0000 0.5576
5 Tl 0.3333 0.6667 0.2242
6 Tl 0.6667 0.3333 0.8909
7 Sn 0.0000 0.0000 0.7691
8 Sn 0.3333 0.6667 0.4357
9 Sn 0.6667 0.3333 0.1024
10 H 0.0000 0.0000 0.3370
11 H 0.3333 0.6667 0.0037
12 H 0.6667 0.3333 0.6704
13 Ir 0.0000 0.0000 0.1558
14 Ir 0.3333 0.6667 0.8224
15 Ir 0.6667 0.3333 0.4891

Offset from the most stable computed form ... 101 kJ/mol of formula units
Theoretical density ... 8.52 g/cm³



(7)
Entry from the Alexandria database: a relaxed structure of CaTlSnHIr (PBE).

Lattice parameters (Å, degrees): 3.5086 4.8619 12.2912 90.00 90.00 90.00
Sites, in units of the cell vectors:
1 Ca 0.0000 0.0000 0.0000
2 Ca 0.0000 0.5000 0.5000
3 Tl 0.5000 0.0000 0.6894
4 Tl 0.5000 0.5000 0.1894
5 Sn 0.0000 0.0000 0.2874
6 Sn 0.0000 0.5000 0.7874
7 H 0.0000 0.0000 0.5017
8 H 0.0000 0.5000 0.0017
9 Ir 0.5000 0.0000 0.4601
10 Ir 0.5000 0.5000 0.9601

Offset from the most stable computed form ... 62 kJ/mol of formula units
Theoretical density ... 8.81 g/cm³



(8)
Entry from the Alexandria database: a relaxed structure of SrCa2H8Ir (PBE).

Lattice parameters (Å, degrees): 4.9025 4.9025 7.2601 90.00 90.00 120.00
Sites, in units of the cell vectors:
1 Sr 0.0000 0.0000 0.0000
2 Ca 0.3333 0.6667 0.3559
3 Ca 0.6667 0.3333 0.6441
4 H 0.1632 0.3263 0.6406
5 H 0.1632 0.8368 0.6406
6 H 0.3263 0.1632 0.3594
7 H 0.3333 0.6667 0.0553
8 H 0.6667 0.3333 0.9447
9 H 0.6737 0.8368 0.6406
10 H 0.8368 0.1632 0.3594
11 H 0.8368 0.6737 0.3594
12 Ir 0.0000 0.0000 0.5000

Theoretical density ... 4.04 g/cm³
Total DFT energy (no corrections) ... -3.9580 eV per atom